# 1
This record from the Alexandria database describes a relaxed structure of Sc2UTl2Se6. The functional is GGA-PBE.

abc: 6.923 6.923 8.172
angles: 98.04 98.04 120.21
Sites, in units of the cell vectors:
Sc1 0.167 0.833 0.000
Sc2 0.833 0.167 0.000
U1 0.500 0.500 0.000
Tl1 0.336 0.664 0.500
Tl2 0.664 0.336 0.500
Se1 0.094 0.436 0.804
Se2 0.222 0.222 0.196
Se3 0.436 0.094 0.804
Se4 0.564 0.906 0.196
Se5 0.778 0.778 0.804
Se6 0.906 0.564 0.196

Values from the calculation:
DFT total energy ... -5.741 eV per atom
ΔE_f (raw) ... -1.23 eV/atom
Symmetry ... C2/m


# 2
This record from the Alexandria database describes a relaxed structure of Sc2UTl3Se6. The functional is GGA-PBE.

abc: 7.008 7.008 8.144
angles: 98.26 98.26 119.96
Sites, in units of the cell vectors:
Sc1 0.167 0.833 0.000
Sc2 0.833 0.167 0.000
U1 0.500 0.500 0.000
Tl1 0.000 0.000 0.500
Tl2 0.336 0.664 0.500
Tl3 0.664 0.336 0.500
Se1 0.088 0.434 0.802
Se2 0.219 0.219 0.196
Se3 0.434 0.088 0.802
Se4 0.566 0.912 0.198
Se5 0.781 0.781 0.804
Se6 0.912 0.566 0.198

Values from the calculation:
DFT total energy ... -5.445 eV per atom
ΔE_f (raw) ... -1.11 eV/atom
Symmetry ... C2/m


# 3
This record from the Alexandria database describes a relaxed structure of ScU2Tl3Se6. The functional is GGA-PBE.

abc: 7.101 7.101 8.214
angles: 98.29 98.29 119.95
Sites, in units of the cell vectors:
Sc1 0.000 0.000 0.000
U1 0.334 0.666 0.000
U2 0.666 0.334 0.000
Tl1 0.170 0.830 0.500
Tl2 0.500 0.500 0.500
Tl3 0.830 0.170 0.500
Se1 0.067 0.388 0.201
Se2 0.253 0.253 0.796
Se3 0.388 0.067 0.201
Se4 0.612 0.933 0.799
Se5 0.747 0.747 0.204
Se6 0.933 0.612 0.799

Values from the calculation:
DFT total energy ... -5.737 eV per atom
ΔE_f (raw) ... -0.99 eV/atom
Symmetry ... C2/m


# 4
This record from the Alexandria database describes a relaxed structure of ScUTl2Se4. The functional is GGA-PBE.

abc: 7.035 4.078 8.185
angles: 90.00 106.55 90.00
Sites, in units of the cell vectors:
Sc1 0.000 0.000 0.000
U1 0.500 0.500 0.000
Tl1 0.000 0.500 0.500
Tl2 0.500 0.000 0.500
Se1 0.221 0.500 0.196
Se2 0.255 0.000 0.796
Se3 0.745 0.000 0.204
Se4 0.779 0.500 0.804

Values from the calculation:
DFT total energy ... -5.589 eV per atom
ΔE_f (raw) ... -1.05 eV/atom
Symmetry ... P2/m


# 5
This record from the Alexandria database describes a relaxed structure of ScTl2VSe. The functional is GGA-PBE.

abc: 5.595 5.595 4.599
angles: 90.00 90.00 90.00
Sites, in units of the cell vectors:
Sc1 0.000 0.000 0.000
Tl1 0.000 0.500 0.000
Tl2 0.500 0.000 0.000
V1 0.000 0.000 0.500
Se1 0.500 0.500 0.500

Values from the calculation:
DFT total energy ... -3.841 eV per atom
Energy relative to the lowest polymorph listed for this composition ... 1.88 eV/f.u.
ΔE_f (raw) ... 0.89 eV/atom
Symmetry ... P4/mmm


# 6
This record from the Alexandria database describes a relaxed structure of Sc3Tl3VSe8. The functional is GGA-PBE.

abc: 8.960 8.960 8.960
angles: 51.11 51.11 51.11
Sites, in units of the cell vectors:
Sc1 0.000 0.500 0.500
Sc2 0.500 0.000 0.500
Sc3 0.500 0.500 0.000
Tl1 0.000 0.000 0.500
Tl2 0.000 0.500 0.000
Tl3 0.500 0.000 0.000
V1 0.000 0.000 0.000
Se1 0.222 0.222 0.746
Se2 0.222 0.746 0.222
Se3 0.254 0.778 0.778
Se4 0.268 0.268 0.268
Se5 0.732 0.732 0.732
Se6 0.746 0.222 0.222
Se7 0.778 0.254 0.778
Se8 0.778 0.778 0.254

Values from the calculation:
DFT total energy ... -5.310 eV per atom
ΔE_f (raw) ... -1.10 eV/atom
Symmetry ... R-3m


# 7
This record from the Alexandria database describes a relaxed structure of ScTl2VSe. The functional is GGA-PBE.

abc: 5.785 5.785 4.577
angles: 90.00 90.00 90.00
Sites, in units of the cell vectors:
Sc1 0.000 0.000 0.000
Tl1 0.000 0.500 0.500
Tl2 0.500 0.000 0.500
V1 0.500 0.500 0.000
Se1 0.500 0.500 0.500

Values from the calculation:
DFT total energy ... -4.217 eV per atom
Energy relative to the lowest polymorph listed for this composition ... 0.00 eV/f.u.
ΔE_f (raw) ... 0.52 eV/atom
Symmetry ... P4/mmm


# 8
This record from the Alexandria database describes a relaxed structure of Y3ScTl4Se8. The functional is GGA-PBE.

abc: 9.114 9.114 9.114
angles: 54.02 54.02 54.02
Sites, in units of the cell vectors:
Y1 0.000 0.500 0.500
Y2 0.500 0.000 0.500
Y3 0.500 0.500 0.000
Sc1 0.000 0.000 0.000
Tl1 0.000 0.000 0.500
Tl2 0.000 0.500 0.000
Tl3 0.500 0.000 0.000
Tl4 0.500 0.500 0.500
Se1 0.228 0.228 0.745
Se2 0.228 0.745 0.228
Se3 0.255 0.772 0.772
Se4 0.265 0.265 0.265
Se5 0.735 0.735 0.735
Se6 0.745 0.228 0.228
Se7 0.772 0.255 0.772
Se8 0.772 0.772 0.255

Values from the calculation:
DFT total energy ... -5.297 eV per atom
ΔE_f (raw) ... -1.36 eV/atom
Symmetry ... R-3m


# 9
This record from the Alexandria database describes a relaxed structure of YSc2Tl3Se6. The functional is GGA-PBE.

abc: 7.013 7.013 8.088
angles: 98.32 98.32 119.96
Sites, in units of the cell vectors:
Y1 0.000 0.000 0.000
Sc1 0.333 0.667 0.000
Sc2 0.667 0.333 0.000
Tl1 0.163 0.837 0.500
Tl2 0.500 0.500 0.500
Tl3 0.837 0.163 0.500
Se1 0.066 0.413 0.199
Se2 0.281 0.281 0.804
Se3 0.413 0.066 0.199
Se4 0.587 0.934 0.801
Se5 0.719 0.719 0.196
Se6 0.934 0.587 0.801

Values from the calculation:
DFT total energy ... -5.227 eV per atom
ΔE_f (raw) ... -1.30 eV/atom
Symmetry ... C2/m


# 10
This record from the Alexandria database describes a relaxed structure of Sc2Tl3ZnSe6. The functional is GGA-PBE.

abc: 6.935 6.935 7.767
angles: 98.55 98.55 120.03
Sites, in units of the cell vectors:
Sc1 0.167 0.833 0.000
Sc2 0.833 0.167 0.000
Tl1 0.000 0.000 0.500
Tl2 0.331 0.669 0.500
Tl3 0.669 0.331 0.500
Zn1 0.500 0.500 0.000
Se1 0.104 0.435 0.804
Se2 0.235 0.235 0.196
Se3 0.435 0.104 0.804
Se4 0.565 0.896 0.196
Se5 0.765 0.765 0.804
Se6 0.896 0.565 0.196

Values from the calculation:
DFT total energy ... -4.420 eV per atom
ΔE_f (raw) ... -0.92 eV/atom
Symmetry ... C2/m


# 11
This record from the Alexandria database describes a relaxed structure of ZrScTl2Se. The functional is GGA-PBE.

abc: 5.519 5.519 5.051
angles: 90.00 90.00 90.00
Sites, in units of the cell vectors:
Zr1 0.000 0.000 0.000
Sc1 0.000 0.000 0.500
Tl1 0.000 0.500 0.500
Tl2 0.500 0.000 0.500
Se1 0.500 0.500 0.000

Values from the calculation:
DFT total energy ... -3.971 eV per atom
ΔE_f (raw) ... 0.65 eV/atom
Symmetry ... P4/mmm


# 12
This record from the Alexandria database describes a relaxed structure of Zr3ScTl3Se8. The functional is GGA-PBE.

abc: 7.676 7.676 9.218
angles: 114.50 114.50 60.08
Sites, in units of the cell vectors:
Zr1 0.000 0.000 0.000
Zr2 0.000 0.500 0.000
Zr3 0.500 0.000 0.000
Sc1 0.500 0.500 0.000
Tl1 0.000 0.500 0.500
Tl2 0.500 0.000 0.500
Tl3 0.500 0.500 0.500
Se1 0.232 0.733 0.198
Se2 0.233 0.233 0.200
Se3 0.267 0.267 0.802
Se4 0.267 0.768 0.802
Se5 0.733 0.232 0.198
Se6 0.733 0.733 0.198
Se7 0.767 0.767 0.800
Se8 0.768 0.267 0.802

Values from the calculation:
DFT total energy ... -5.604 eV per atom
ΔE_f (raw) ... -1.14 eV/atom
Symmetry ... C2/m